## A
This record from the Alexandria database describes a relaxed Cd2Co2Ag crystal. The functional is PBE-GGA.

a b c (Å): 6.708 6.708 3.738
angles (deg): 90.00 90.00 90.00
Sites, in units of the cell vectors:
Co 0.384 0.884 0.000
Co 0.884 0.616 0.000
Co 0.616 0.116 0.000
Co 0.116 0.384 0.000
Cd 0.322 0.178 0.500
Cd 0.822 0.322 0.500
Cd 0.678 0.822 0.500
Cd 0.178 0.678 0.500
Ag 0.500 0.500 0.000
Ag 0.000 0.000 0.000

=====

## B
This record from the Alexandria database describes a relaxed Cd2Co2Ag crystal. The functional is PBE-GGA.

a b c (Å): 8.482 8.482 8.482
angles (deg): 157.69 157.69 31.76
Sites, in units of the cell vectors:
Cd 0.387 0.387 0.000
Cd 0.613 0.613 0.000
Co 0.250 0.750 0.500
Co 0.750 0.250 0.500
Ag 0.000 0.000 0.000

=====

What are the relative energies? In meV per atom: A 40; B 0.

=====

## A
This record from the Alexandria database describes a relaxed Cs2Cd2Ag crystal. The functional is PBE-GGA.

a b c (Å): 8.147 8.147 6.093
angles (deg): 90.00 90.00 90.00
Sites, in units of the cell vectors:
Cd 0.636 0.136 0.000
Cd 0.136 0.364 0.000
Cd 0.864 0.636 0.000
Cd 0.364 0.864 0.000
Cs 0.680 0.820 0.500
Cs 0.180 0.680 0.500
Cs 0.820 0.320 0.500
Cs 0.320 0.180 0.500
Ag 0.500 0.500 0.000
Ag 0.000 0.000 0.000

=====

## B
This record from the Alexandria database describes a relaxed Cs2Cd2Ag crystal. The functional is PBE-GGA.

a b c (Å): 5.259 6.448 7.372
angles (deg): 115.93 110.90 90.00
Sites, in units of the cell vectors:
Cd 0.500 0.769 0.000
Cd 0.500 0.231 0.000
Cs 0.188 0.688 0.376
Cs 0.812 0.312 0.624
Ag 0.000 0.000 0.000

=====

What are the relative energies? In meV per atom: A 92; B 0.

=====

## A
This record from the Alexandria database describes a relaxed Cs2Cd2Ag crystal. The functional is PBE-GGA.

a b c (Å): 7.462 7.462 6.758
angles (deg): 56.49 56.49 90.00
Sites, in units of the cell vectors:
Cs 0.250 0.750 0.500
Cs 0.750 0.250 0.500
Ag 0.000 0.000 0.000
Cd 0.330 0.330 0.341
Cd 0.670 0.670 0.659

=====

## B
This record from the Alexandria database describes a relaxed Cs2Cd2Ag crystal. The functional is PBE-GGA.

a b c (Å): 9.157 7.984 7.915
angles (deg): 82.51 76.86 55.01
Sites, in units of the cell vectors:
Cd 0.946 0.000 0.342
Cd 0.054 0.000 0.658
Cd 0.291 0.000 0.846
Cd 0.709 0.000 0.154
Cs 0.849 0.662 0.740
Cs 0.511 0.338 0.740
Cs 0.151 0.338 0.260
Cs 0.489 0.662 0.260
Ag 0.107 0.785 0.000
Ag 0.893 0.215 0.000

=====

What are the relative energies? In meV per atom: A 80; B 0.

=====

## A
This record from the Alexandria database describes a relaxed CsCd3Ag crystal. The functional is PBE-GGA.

a b c (Å): 5.528 5.528 5.528
angles (deg): 90.00 90.00 90.00
Sites, in units of the cell vectors:
Cs 0.500 0.500 0.500
Cd 0.000 0.000 0.500
Cd 0.500 0.000 0.000
Cd 0.000 0.500 0.000
Ag 0.000 0.000 0.000

=====

## B
This record from the Alexandria database describes a relaxed CsCd3Ag crystal. The functional is PBE-GGA.

a b c (Å): 7.153 7.153 7.153
angles (deg): 90.00 90.00 90.00
Sites, in units of the cell vectors:
Cd 0.500 0.000 0.000
Cd 0.000 0.000 0.500
Cd 0.000 0.500 0.000
Cs 0.000 0.000 0.000
Ag 0.500 0.500 0.500

=====

## C
This record from the Alexandria database describes a relaxed CsCd3Ag crystal. The functional is PBE-GGA.

a b c (Å): 6.244 7.909 7.909
angles (deg): 63.22 66.75 66.75
Sites, in units of the cell vectors:
Cd 0.500 0.312 0.188
Cd 0.000 0.688 0.812
Cd 0.671 0.079 0.579
Cd 0.500 0.688 0.812
Cd 0.000 0.312 0.188
Cd 0.329 0.921 0.421
Ag 0.500 0.000 0.000
Ag 0.500 0.500 0.500
Cs 0.988 0.762 0.262
Cs 0.012 0.238 0.738

=====

What are the relative energies? In meV per atom: A 0; B 723; C 43.

=====

## A
This record from the Alexandria database describes a relaxed CsCdAg2 crystal. The functional is PBE-GGA.

a b c (Å): 5.603 5.603 5.603
angles (deg): 60.00 60.00 60.00
Sites, in units of the cell vectors:
Cd 0.000 0.000 0.000
Ag 0.250 0.250 0.250
Ag 0.750 0.750 0.750
Cs 0.500 0.500 0.500

=====

## B
This record from the Alexandria database describes a relaxed CsCdAg2 crystal. The functional is PBE-GGA.

a b c (Å): 4.950 4.950 7.124
angles (deg): 69.67 69.67 60.00
Sites, in units of the cell vectors:
Ag 0.321 0.321 0.038
Ag 0.679 0.679 0.962
Cd 0.000 0.000 0.000
Cs 0.500 0.500 0.500

=====

What are the relative energies? In meV per atom: A 384; B 0.

=====

## A
This record from the Alexandria database describes a relaxed CsCdAg2 crystal. The functional is PBE-GGA.

a b c (Å): 3.720 3.720 8.283
angles (deg): 90.00 90.00 90.00
Sites, in units of the cell vectors:
Ag 0.000 0.000 0.169
Ag 0.000 0.000 0.831
Cs 0.500 0.500 0.500
Cd 0.500 0.500 0.000

=====

## B
This record from the Alexandria database describes a relaxed CsCdAg2 crystal. The functional is PBE-GGA.

a b c (Å): 4.937 4.937 7.131
angles (deg): 69.97 69.97 59.99
Sites, in units of the cell vectors:
Ag 0.319 0.319 0.044
Ag 0.998 0.998 0.007
Cs 0.498 0.498 0.500
Cd 0.684 0.684 0.950

=====

What are the relative energies? In meV per atom: A 171; B 0.

=====

## A
This record from the Alexandria database describes a relaxed CsCdAg crystal. The functional is PBE-GGA.

a b c (Å): 5.690 5.690 5.690
angles (deg): 60.00 60.00 60.00
Sites, in units of the cell vectors:
Cs 0.000 0.000 0.000
Ag 0.250 0.250 0.250
Cd 0.500 0.500 0.500

=====

## B
This record from the Alexandria database describes a relaxed CsCdAg crystal. The functional is PBE-GGA.

a b c (Å): 3.988 3.988 7.163
angles (deg): 106.17 106.17 90.00
Sites, in units of the cell vectors:
Ag 0.720 0.720 0.439
Cd 0.281 0.281 0.561
Cs 0.000 0.000 0.999

=====

What are the relative energies? In meV per atom: A 103; B 0.

=====

## A
This record from the Alexandria database describes a relaxed CsCd9Ag2 crystal. The functional is PBE-GGA.

a b c (Å): 7.900 9.502 9.502
angles (deg): 80.05 65.44 65.44
Sites, in units of the cell vectors:
Cd 0.606 0.083 0.327
Cd 0.439 0.827 0.417
Cd 0.000 0.000 0.000
Cd 0.735 0.583 0.827
Cd 0.144 0.173 0.417
Cd 0.606 0.327 0.083
Cd 0.682 0.583 0.173
Cd 0.735 0.827 0.583
Cd 0.682 0.173 0.583
Cd 0.750 0.500 0.500
Cd 0.015 0.917 0.673
Cd 0.311 0.083 0.673
Cd 0.015 0.673 0.917
Cd 0.439 0.417 0.827
Cd 0.144 0.417 0.173
Cd 0.068 0.917 0.327
Cd 0.068 0.327 0.917
Cd 0.311 0.673 0.083
Cs 0.250 0.500 0.500
Cs 0.500 0.000 0.000
Ag 0.875 0.250 0.250
Ag 0.375 0.750 0.750
Ag 0.875 0.250 0.750
Ag 0.875 0.750 0.250

=====

## B
This record from the Alexandria database describes a relaxed CsCd9Ag2 crystal. The functional is PBE-GGA.

a b c (Å): 4.058 9.428 9.428
angles (deg): 120.00 90.00 90.00
Sites, in units of the cell vectors:
Cd 0.000 0.000 0.500
Cd 0.500 0.801 0.603
Cd 0.500 0.397 0.199
Cd 0.500 0.801 0.199
Cd 0.000 0.500 0.500
Cd 0.500 0.199 0.397
Cd 0.500 0.199 0.801
Cd 0.000 0.500 0.000
Cd 0.500 0.603 0.801
Ag 0.000 0.333 0.667
Ag 0.000 0.667 0.333
Cs 0.000 0.000 0.000

=====

What are the relative energies? In meV per atom: A 0; B 60.

=====

## A
This record from the Alexandria database describes a relaxed CsCd2GaAg crystal. The functional is PBE-GGA.

a b c (Å): 5.530 5.530 5.194
angles (deg): 90.00 90.00 90.00
Sites, in units of the cell vectors:
Cd 0.500 0.000 0.000
Cd 0.000 0.500 0.000
Cs 0.500 0.500 0.500
Ga 0.000 0.000 0.500
Ag 0.000 0.000 0.000

=====

## B
This record from the Alexandria database describes a relaxed CsCd2GaAg crystal. The functional is PBE-GGA.

a b c (Å): 5.515 5.515 5.276
angles (deg): 90.00 90.00 90.00
Sites, in units of the cell vectors:
Ag 0.000 0.000 0.500
Cs 0.500 0.500 0.500
Cd 0.500 0.000 0.000
Cd 0.000 0.500 0.000
Ga 0.000 0.000 0.000

=====

What are the relative energies? In meV per atom: A 35; B 0.

=====

## A
This record from the Alexandria database describes a relaxed CsCdAgHg2 crystal. The functional is PBE-GGA.

a b c (Å): 5.819 5.819 5.517
angles (deg): 90.00 90.00 90.00
Sites, in units of the cell vectors:
Ag 0.000 0.000 0.500
Hg 0.000 0.500 0.000
Hg 0.500 0.000 0.000
Cs 0.500 0.500 0.500
Cd 0.000 0.000 0.000

=====

## B
This record from the Alexandria database describes a relaxed CsCdAgHg2 crystal. The functional is PBE-GGA.

a b c (Å): 5.632 5.632 5.494
angles (deg): 90.00 90.00 90.00
Sites, in units of the cell vectors:
Cd 0.000 0.000 0.500
Hg 0.500 0.000 0.000
Hg 0.000 0.500 0.000
Ag 0.000 0.000 0.000
Cs 0.500 0.500 0.500

=====

What are the relative energies? In meV per atom: A 34; B 0.

=====

## A
This record from the Alexandria database describes a relaxed CsCd2InAg crystal. The functional is PBE-GGA.

a b c (Å): 5.552 5.552 5.492
angles (deg): 90.00 90.00 90.00
Sites, in units of the cell vectors:
Cs 0.500 0.500 0.500
In 0.000 0.000 0.500
Cd 0.000 0.500 0.000
Cd 0.500 0.000 0.000
Ag 0.000 0.000 0.000

=====

## B
This record from the Alexandria database describes a relaxed CsCd2InAg crystal. The functional is PBE-GGA.

a b c (Å): 5.762 5.762 5.548
angles (deg): 90.00 90.00 90.00
Sites, in units of the cell vectors:
Cd 0.000 0.500 0.000
Cd 0.500 0.000 0.000
In 0.000 0.000 0.000
Cs 0.500 0.500 0.500
Ag 0.000 0.000 0.500

=====

What are the relative energies? In meV per atom: A 0; B 16.

=====

## A
This record from the Alexandria database describes a relaxed CsKCd2Ag crystal. The functional is PBE-GGA.

a b c (Å): 5.619 5.619 6.219
angles (deg): 90.00 90.00 90.00
Sites, in units of the cell vectors:
K 0.000 0.000 0.500
Cs 0.500 0.500 0.500
Cd 0.000 0.500 0.000
Cd 0.500 0.000 0.000
Ag 0.000 0.000 0.000

=====

## B
This record from the Alexandria database describes a relaxed CsKCd2Ag crystal. The functional is PBE-GGA.

a b c (Å): 5.612 5.027 7.790
angles (deg): 108.82 111.11 90.00
Sites, in units of the cell vectors:
Cd 0.032 0.032 0.065
Cd 0.703 0.203 0.406
K 0.203 0.703 0.405
Ag 0.825 0.825 0.650
Cs 0.449 0.449 0.898

=====

## C
This record from the Alexandria database describes a relaxed CsKCd2Ag crystal. The functional is PBE-GGA.

a b c (Å): 5.622 5.622 6.519
angles (deg): 90.00 90.00 90.00
Sites, in units of the cell vectors:
Cd 0.000 0.500 0.000
Cd 0.500 0.000 0.000
Ag 0.000 0.000 0.000
Cs 0.000 0.000 0.500
K 0.500 0.500 0.500

=====

What are the relative energies? In meV per atom: A 15; B 0; C 75.